(1)
LaTa2HgAs after structural relaxation, computed with PBE-GGA.

POSCAR file:
```
LaTa2HgAs
1.0
5.0454 0.0000 0.0000
0.0000 5.6560 0.0000
0.0000 0.0000 5.0454
As La Ta Hg
1 1 2 1
Direct
0.5000 0.5000 0.5000
0.0000 0.0000 0.0000
0.5000 0.0000 0.0000
0.0000 0.0000 0.5000
0.0000 0.5000 0.0000
```

Summary:
Crystal system = tetragonal
D(E_F) = 5.14 states/eV/f.u.
Electronic total energy = -22.75 eV for the cell shown
Space group = P4/mmm
Energy of formation from the pure elements = 2167 meV/atom

***

(2)
La4HgTe2As after structural relaxation, computed with PBE-GGA.

POSCAR file:
```
La4HgTe2As
1.0
4.4467 0.0000 0.0000
0.0000 7.8667 -0.1976
0.0000 2.7307 7.4315
La Te As Hg
4 2 1 1
Direct
0.5000 0.2686 0.7331
0.0000 0.7404 0.7440
0.5000 0.7314 0.2669
0.0000 0.2596 0.2560
0.0000 0.0000 0.0000
0.5000 0.0000 0.5000
0.0000 0.5000 0.5000
0.5000 0.5000 0.0000
```

Summary:
Crystal system = monoclinic
D(E_F) = 7.20 states/eV/f.u.
Electronic total energy = -41.27 eV for the cell shown
Space group = P2/m
Raw formation energy = -1290 meV/atom

***

(3)
La6HgTe3As2 after structural relaxation, computed with PBE-GGA.

POSCAR file:
```
La6HgTe3As2
1.0
-1.1301 3.9686 1.6640
-4.1249 -4.1266 7.0405
9.8083 -0.6780 2.3300
As Hg La Te
2 1 6 3
Direct
0.1683 0.3358 0.3366
0.8317 0.6642 0.6634
0.5000 0.0000 0.0000
0.9924 0.7474 0.9848
0.6723 0.5692 0.3447
0.3322 0.8974 0.6645
0.0076 0.2526 0.0152
0.6678 0.1026 0.3355
0.3277 0.4308 0.6553
0.1649 0.8321 0.3297
0.5000 0.5000 0.0000
0.8351 0.1679 0.6703
```

Summary:
Crystal system = monoclinic
D(E_F) = 7.50 states/eV/f.u.
Electronic total energy = -65.56 eV for the cell shown
Space group = C2/m
Raw formation energy = -1414 meV/atom

***

> Number 1 is which compound?

LaTa2HgAs

***

Please write out number 3 again, unchanged.
La6HgTe3As2 after structural relaxation, computed with PBE-GGA.

POSCAR file:
```
La6HgTe3As2
1.0
-1.1301 3.9686 1.6640
-4.1249 -4.1266 7.0405
9.8083 -0.6780 2.3300
As Hg La Te
2 1 6 3
Direct
0.1683 0.3358 0.3366
0.8317 0.6642 0.6634
0.5000 0.0000 0.0000
0.9924 0.7474 0.9848
0.6723 0.5692 0.3447
0.3322 0.8974 0.6645
0.0076 0.2526 0.0152
0.6678 0.1026 0.3355
0.3277 0.4308 0.6553
0.1649 0.8321 0.3297
0.5000 0.5000 0.0000
0.8351 0.1679 0.6703
```

Summary:
Crystal system = monoclinic
D(E_F) = 7.50 states/eV/f.u.
Electronic total energy = -65.56 eV for the cell shown
Space group = C2/m
Raw formation energy = -1414 meV/atom

***

Please write out number 2 again, unchanged.
La4HgTe2As after structural relaxation, computed with PBE-GGA.

POSCAR file:
```
La4HgTe2As
1.0
4.4467 0.0000 0.0000
0.0000 7.8667 -0.1976
0.0000 2.7307 7.4315
La Te As Hg
4 2 1 1
Direct
0.5000 0.2686 0.7331
0.0000 0.7404 0.7440
0.5000 0.7314 0.2669
0.0000 0.2596 0.2560
0.0000 0.0000 0.0000
0.5000 0.0000 0.5000
0.0000 0.5000 0.5000
0.5000 0.5000 0.0000
```

Summary:
Crystal system = monoclinic
D(E_F) = 7.20 states/eV/f.u.
Electronic total energy = -41.27 eV for the cell shown
Space group = P2/m
Raw formation energy = -1290 meV/atom